Entry 1:
# CaHfSi2 | Alexandria via LeMat-Bulk | PBE | relaxed
# ΔE_f (raw): -0.0916 eV per atom
# polymorph energy (0 for the lowest one): 0.0000 eV per atom
data_CaHfSi2
_chemical_formula_sum 'Ca4 Hf4 Si8'
_symmetry_space_group_name_H-M 'F m -3 m'
_symmetry_Int_Tables_number 225
_symmetry_space_group_name_Hall '-F 4 2 3'
_cell_length_a 6.821
_cell_length_b 6.821
_cell_length_c 6.821
_cell_angle_alpha 90.00
_cell_angle_beta 90.00
_cell_angle_gamma 90.00
loop_
_atom_site_label
_atom_site_fract_x
_atom_site_fract_y
_atom_site_fract_z
_atom_site_occupancy
Ca1 0.000 0.000 0.000 1
Hf1 0.000 0.000 0.500 1
Si1 0.250 0.250 0.250 1



Entry 2:
# CeZrNbN3 | Alexandria via LeMat-Bulk | PBE | relaxed
# ΔE_f (raw): -1.1971 eV per atom
data_CeZrNbN3
_chemical_formula_sum 'Ce2 Zr2 Nb2 N6'
_symmetry_space_group_name_H-M 'P 1 21/m 1'
_symmetry_Int_Tables_number 11
_symmetry_space_group_name_Hall '-P 2yb'
_cell_length_a 6.974
_cell_length_b 3.215
_cell_length_c 8.246
_cell_angle_alpha 90.00
_cell_angle_beta 94.07
_cell_angle_gamma 90.00
loop_
_atom_site_label
_atom_site_fract_x
_atom_site_fract_y
_atom_site_fract_z
_atom_site_occupancy
Ce1 0.142 0.250 0.176 1
Zr1 0.369 0.750 0.866 1
Nb1 0.146 0.250 0.577 1
N1 0.142 0.250 0.857 1
N2 0.161 0.750 0.411 1
N3 0.402 0.750 0.126 1



Entry 3:
# Pu2MgPdO8 | Alexandria via LeMat-Bulk | PBE | relaxed
# ΔE_f (raw): -1.9511 eV per atom
data_Pu2MgPdO8
_chemical_formula_sum 'Pu4 Mg2 Pd2 O16'
_symmetry_space_group_name_H-M 'I -4 m 2'
_symmetry_Int_Tables_number 119
_symmetry_space_group_name_Hall 'I -4 -2'
_cell_length_a 5.169
_cell_length_b 5.169
_cell_length_c 10.422
_cell_angle_alpha 90.00
_cell_angle_beta 90.00
_cell_angle_gamma 90.00
loop_
_atom_site_label
_atom_site_fract_x
_atom_site_fract_y
_atom_site_fract_z
_atom_site_occupancy
Pu1 0.000 0.000 0.000 1
Pu2 0.000 0.500 0.250 1
Mg1 0.000 0.000 0.500 1
Pd1 0.000 0.500 0.750 1
O1 0.243 0.253 0.124 1



Entry 4:
# Pm7SmHo4 | Alexandria via LeMat-Bulk | PBE | relaxed
# polymorph energy (0 for the lowest one): 0.0000 eV per atom
data_Pm7SmHo4
_chemical_formula_sum 'Pm7 Sm1 Ho4'
_symmetry_space_group_name_H-M 'P -1'
_symmetry_Int_Tables_number 2
_symmetry_space_group_name_Hall '-P 1'
_cell_length_a 6.299
_cell_length_b 7.269
_cell_length_c 8.961
_cell_angle_alpha 89.99
_cell_angle_beta 76.47
_cell_angle_gamma 89.98
loop_
_atom_site_label
_atom_site_fract_x
_atom_site_fract_y
_atom_site_fract_z
_atom_site_occupancy
Pm1 0.000 0.000 0.000 1
Pm2 0.222 0.500 0.335 1
Pm3 0.280 0.751 0.665 1
Pm4 0.500 0.247 0.999 1
Sm1 0.000 0.500 0.000 1
Ho1 0.220 0.000 0.335 1
Ho2 0.278 0.247 0.666 1